Be4CoAs, relaxed, DFT PBE; space-group type = F-43m (216); M_tot = 0.000 μB/atom; calculated formation energy = 0.02 eV per atom
1.0
0.0000 3.0653 3.0653
3.0653 0.0000 3.0653
3.0653 3.0653 0.0000
Be Co As
4 1 1
Direct
0.1225 0.1225 0.1225
0.1225 0.1225 0.6326
0.1225 0.6326 0.1225
0.6326 0.1225 0.1225
0.7500 0.7500 0.7500
0.5000 0.5000 0.5000